(1)
MgW, relaxed, DFT PBE-GGA; density = 9.9 g/cm³; electronic total energy = -6.927 eV per atom; total moment = 0.000 μB/cell
1.0
2.7702 0.0000 0.0000
0.0000 4.5238 0.0000
-0.8984 0.0000 5.5722
Mg W
2 2
Cartesian
-0.0001 1.1309 2.0759 Mg
1.8719 3.3928 3.4963 Mg
1.0212 3.3928 0.5795 W
0.8506 1.1309 4.9927 W

(2)
MgW2, relaxed, DFT PBE-GGA; density = 12.6 g/cm³; electronic total energy = -8.500 eV per atom; total moment = 0.000 μB/cell
1.0
2.6839 0.0000 0.0000
0.0000 2.6839 0.0000
0.0000 0.0000 28.7440
Mg W
4 8
Cartesian
0.0000 0.6710 10.7790 Mg
0.0000 2.0129 17.9650 Mg
1.3419 0.6710 3.5930 Mg
1.3419 2.0129 25.1510 Mg
0.0000 0.6710 22.8158 W
0.0000 0.6710 27.4862 W
0.0000 2.0129 1.2578 W
0.0000 2.0129 5.9282 W
1.3419 0.6710 15.6298 W
1.3419 0.6710 20.3002 W
1.3419 2.0129 8.4438 W
1.3419 2.0129 13.1142 W

(3)
Mg7W, relaxed, DFT PBE-GGA; density = 3.6 g/cm³; electronic total energy = -2.771 eV per atom; total moment = 0.000 μB/cell
1.0
0.0000 4.3231 4.3231
4.3231 0.0000 4.3231
4.3231 4.3231 0.0000
Mg W
7 1
Cartesian
0.0000 0.0000 0.0000 Mg
2.1616 2.1616 0.0000 Mg
2.1616 0.0000 2.1616 Mg
4.3231 2.1616 2.1616 Mg
0.0000 2.1616 2.1616 Mg
2.1616 4.3231 2.1616 Mg
2.1616 2.1616 4.3231 Mg
4.3231 4.3231 4.3231 W

(4)
MgW3, relaxed, DFT PBE-GGA; density = 14.6 g/cm³; electronic total energy = -9.822 eV per atom; total moment = 0.000 μB/cell
1.0
2.7222 0.0000 0.0000
0.0000 4.5318 0.0000
-0.9213 0.0000 5.3249
Mg W
1 3
Cartesian
0.0000 0.0000 0.0000 Mg
0.0161 2.2659 3.9715 W
0.9005 0.0000 2.6624 W
1.7848 2.2659 1.3534 W

(5)
MgW3, relaxed, DFT PBE-GGA; density = 14.3 g/cm³; electronic total energy = -9.671 eV per atom; total moment = 0.000 μB/cell
1.0
6.6752 0.0000 0.0000
0.0000 8.9611 0.0000
0.0000 0.0000 4.4608
Mg W
4 12
Cartesian
0.0000 1.1256 1.1152 Mg
0.0000 7.8355 3.3456 Mg
3.3376 3.3550 3.3456 Mg
3.3376 5.6062 1.1152 Mg
0.0000 3.2157 3.3456 W
0.0000 5.7455 1.1152 W
1.5037 3.4957 1.1152 W
1.5037 5.4654 3.3456 W
1.8339 0.9849 3.3456 W
1.8339 7.9763 1.1152 W
3.3376 1.2649 1.1152 W
3.3376 7.6963 3.3456 W
4.8413 0.9849 3.3456 W
4.8413 7.9763 1.1152 W
5.1715 3.4957 1.1152 W
5.1715 5.4654 3.3456 W

(6)
MgW, relaxed, DFT PBE-GGA; density = 9.3 g/cm³; electronic total energy = -6.950 eV per atom; total moment = 0.000 μB/cell
1.0
3.3122 0.0000 0.0000
0.0000 3.3122 0.0000
0.0000 0.0000 6.7544
Mg W
2 2
Cartesian
0.8280 0.8280 0.9441 Mg
2.4841 2.4841 5.8103 Mg
0.8280 0.8280 3.9627 W
2.4841 2.4841 2.7917 W